Record 1
Entry from Alexandria via LeMat-Bulk: a geometry-optimized Mg6Si7Ni16 structure (PBE).

Its total DFT energy (no corrections) is -5.3742 eV per atom.

It has space group Fm-3m (No. 225), with a = 11.3170 Å, b = 11.3170 Å, c = 11.3170 Å, α = 90.00°, β = 90.00° and γ = 90.00°. The inequivalent atoms are Mg at (0.0000, 0.0000, 0.2043), Si at (0.0000, 0.0000, 0.5000), Si at (0.0000, 0.2500, 0.2500), Ni at (0.1180, 0.1180, 0.3820) and Ni at (0.1680, 0.1680, 0.1680).



Record 2
Entry from Alexandria via LeMat-Bulk: a geometry-optimized LaTmS structure (PBE).

The value obtained for the distance to the lowest polymorph of the same formula is 0.000 eV per atom. Its total DFT energy (no corrections) is -5.7743 eV per atom.

It has space group Pmmn (No. 59, origin choice 2), with a = 3.8212 Å, b = 5.4058 Å, c = 7.9484 Å, α = 90.00°, β = 90.00° and γ = 90.00°. The inequivalent atoms are La at (0.2500, 0.2500, 0.1081), Tm at (0.2500, 0.2500, 0.6252) and S at (0.2500, 0.7500, 0.6100).



Record 3
Entry from Alexandria via LeMat-Bulk: a geometry-optimized Ba4Pu6O19 structure (PBE).

Its total DFT energy (no corrections) is -9.3369 eV per atom.

It has space group I23 (No. 197), with a = 10.1745 Å, b = 10.1745 Å, c = 10.1745 Å, α = 90.00°, β = 90.00° and γ = 90.00°. The inequivalent atoms are Ba at (0.1475, 0.1475, 0.8525), Pu at (0.0000, 0.3339, 0.5000), O at (0.0000, 0.0000, 0.0000), O at (0.0000, 0.0000, 0.3682) and O at (0.0049, 0.3318, 0.2920).